Record 1
Material: CePrInHg
Method: DFT, PBE-GGA
State: optimized geometry

energy of formation: -0.395 eV/atom
space group: P4mm
crystal system: tetragonal
density of states at the Fermi level: 8.9 states/eV per cell

Cell lengths 3.576, 3.576, 8.846 Å; angles 90.00, 90.00, 90.00 degrees
Fractional coordinates of all 4 atoms:
Ce (0.000, 0.000, 0.000)
Pr (0.000, 0.000, 0.492)
In (0.500, 0.500, 0.748)
Hg (0.500, 0.500, 0.243)

---

Record 2
Material: CePuInHg
Method: DFT, PBE-GGA
State: optimized geometry

energy of formation: -0.254 eV/atom
space group: Pmmm
crystal system: orthorhombic
density of states at the Fermi level: 11.1 states/eV per cell

Cell lengths 4.596, 4.619, 4.856 Å; angles 90.00, 90.00, 90.00 degrees
Fractional coordinates of all 4 atoms:
Ce (0.000, 0.000, 0.000)
Pu (0.500, 0.500, 0.000)
In (0.000, 0.500, 0.500)
Hg (0.500, 0.000, 0.500)

---

Record 3
Material: Ce2PuIn2Hg2
Method: DFT, PBE-GGA
State: optimized geometry

energy of formation: -0.247 eV/atom
space group: C2/m
crystal system: monoclinic
density of states at the Fermi level: 17.1 states/eV per cell

Cell lengths 5.953, 5.953, 7.365 Å; angles 100.58, 100.58, 45.26 degrees
Fractional coordinates of all 7 atoms:
Ce (0.106, 0.106, 0.420)
Ce (0.894, 0.894, 0.580)
Pu (0.000, 0.000, 0.000)
In (0.385, 0.385, 0.258)
In (0.615, 0.615, 0.742)
Hg (0.298, 0.298, 0.838)
Hg (0.702, 0.702, 0.162)

---

Record 4
Material: CePuInHg
Method: DFT, PBE-GGA
State: optimized geometry

energy of formation: -0.195 eV/atom
space group: F-43m
crystal system: cubic
density of states at the Fermi level: 14.0 states/eV per cell

Cell lengths 5.400, 5.400, 5.400 Å; angles 60.00, 60.00, 60.00 degrees
Fractional coordinates of all 4 atoms:
Ce (0.000, 0.000, 0.000)
Pu (0.500, 0.500, 0.500)
In (0.750, 0.750, 0.750)
Hg (0.250, 0.250, 0.250)

---

Record 5
Material: CeInHgRh
Method: DFT, PBE-GGA
State: optimized geometry

energy of formation: -0.368 eV/atom
space group: F-43m
crystal system: cubic
density of states at the Fermi level: 5.4 states/eV per cell

Cell lengths 4.991, 4.991, 4.991 Å; angles 60.00, 60.00, 60.00 degrees
Fractional coordinates of all 4 atoms:
Ce (0.000, 0.000, 0.000)
In (0.500, 0.500, 0.500)
Hg (0.250, 0.250, 0.250)
Rh (0.750, 0.750, 0.750)

---

Record 6
Material: Ce2InHgRu
Method: DFT, PBE-GGA
State: optimized geometry

energy of formation: -0.328 eV/atom
space group: P2_1/m
crystal system: monoclinic
density of states at the Fermi level: 17.1 states/eV per cell

Cell lengths 8.226, 3.919, 8.355 Å; angles 90.00, 108.88, 90.00 degrees
Fractional coordinates of all 10 atoms:
Ce (0.006, 0.250, 0.219)
Ce (0.334, 0.750, 0.597)
Ce (0.666, 0.250, 0.403)
Ce (0.994, 0.750, 0.781)
In (0.321, 0.750, 0.196)
In (0.679, 0.250, 0.804)
Hg (0.346, 0.250, 0.939)
Hg (0.654, 0.750, 0.061)
Ru (0.110, 0.250, 0.617)
Ru (0.890, 0.750, 0.383)

---

Record 7
Material: CeSc2InHg4
Method: DFT, PBE-GGA
State: optimized geometry

energy of formation: -0.278 eV/atom
space group: R-3m
crystal system: trigonal
density of states at the Fermi level: 11.4 states/eV per cell

Cell lengths 9.743, 9.743, 9.743 Å; angles 29.30, 29.30, 29.30 degrees
Fractional coordinates of all 8 atoms:
Ce (0.000, 0.000, 0.000)
Sc (0.236, 0.236, 0.236)
Sc (0.764, 0.764, 0.764)
In (0.500, 0.500, 0.500)
Hg (0.121, 0.121, 0.121)
Hg (0.386, 0.386, 0.386)
Hg (0.614, 0.614, 0.614)
Hg (0.879, 0.879, 0.879)

---

Record 8
Material: CeSm2In2Hg2
Method: DFT, PBE-GGA
State: optimized geometry

energy of formation: -0.258 eV/atom
space group: R-3m
crystal system: trigonal
density of states at the Fermi level: 9.7 states/eV per cell

Cell lengths 9.522, 9.522, 9.522 Å; angles 30.47, 30.47, 30.47 degrees
Fractional coordinates of all 7 atoms:
Ce (0.000, 0.000, 0.000)
Sm (0.129, 0.129, 0.129)
Sm (0.871, 0.871, 0.871)
In (0.266, 0.266, 0.266)
In (0.734, 0.734, 0.734)
Hg (0.414, 0.414, 0.414)
Hg (0.586, 0.586, 0.586)

---

Record 9
Material: CeSmInHg
Method: DFT, PBE-GGA
State: optimized geometry

energy of formation: -0.378 eV/atom
space group: F-43m
crystal system: cubic
density of states at the Fermi level: 10.3 states/eV per cell

Cell lengths 5.434, 5.434, 5.434 Å; angles 60.00, 60.00, 60.00 degrees
Fractional coordinates of all 4 atoms:
Ce (0.000, 0.000, 0.000)
Sm (0.500, 0.500, 0.500)
In (0.250, 0.250, 0.250)
Hg (0.750, 0.750, 0.750)

---

Record 10
Material: CeInSnHg
Method: DFT, PBE-GGA
State: optimized geometry

energy of formation: -0.438 eV/atom
space group: Pmmm
crystal system: orthorhombic
density of states at the Fermi level: 6.0 states/eV per cell

Cell lengths 4.598, 4.616, 4.885 Å; angles 90.00, 90.00, 90.00 degrees
Fractional coordinates of all 4 atoms:
Ce (0.000, 0.000, 0.000)
In (0.500, 0.000, 0.500)
Sn (0.500, 0.500, 0.000)
Hg (0.000, 0.500, 0.500)

---

Record 11
Material: CeInSnHg
Method: DFT, PBE-GGA
State: optimized geometry

energy of formation: -0.285 eV/atom
space group: F-43m
crystal system: cubic
density of states at the Fermi level: 6.6 states/eV per cell

Cell lengths 5.316, 5.316, 5.316 Å; angles 60.00, 60.00, 60.00 degrees
Fractional coordinates of all 4 atoms:
Ce (0.000, 0.000, 0.000)
In (0.500, 0.500, 0.500)
Sn (0.250, 0.250, 0.250)
Hg (0.750, 0.750, 0.750)

---

Record 12
Material: Tb2CeIn2Hg2
Method: DFT, PBE-GGA
State: optimized geometry

energy of formation: -0.252 eV/atom
space group: R-3m
crystal system: trigonal
density of states at the Fermi level: 10.3 states/eV per cell

Cell lengths 9.397, 9.397, 9.397 Å; angles 30.78, 30.78, 30.78 degrees
Fractional coordinates of all 7 atoms:
Tb (0.131, 0.131, 0.131)
Tb (0.869, 0.869, 0.869)
Ce (0.000, 0.000, 0.000)
In (0.266, 0.266, 0.266)
In (0.734, 0.734, 0.734)
Hg (0.427, 0.427, 0.427)
Hg (0.573, 0.573, 0.573)

---

Record 13
Material: Ce2ThIn2Hg2
Method: DFT, PBE-GGA
State: optimized geometry

energy of formation: -0.268 eV/atom
space group: C2/m
crystal system: monoclinic
density of states at the Fermi level: 10.3 states/eV per cell

Cell lengths 5.881, 5.881, 7.681 Å; angles 99.11, 99.11, 45.73 degrees
Fractional coordinates of all 7 atoms:
Ce (0.113, 0.113, 0.440)
Ce (0.887, 0.887, 0.560)
Th (0.000, 0.000, 0.000)
In (0.386, 0.386, 0.257)
In (0.614, 0.614, 0.743)
Hg (0.300, 0.300, 0.838)
Hg (0.700, 0.700, 0.162)

---

Record 14
Material: CeTlInHg
Method: DFT, PBE-GGA
State: optimized geometry

energy of formation: -0.285 eV/atom
space group: Pmmm
crystal system: orthorhombic
density of states at the Fermi level: 8.1 states/eV per cell

Cell lengths 4.716, 4.739, 4.779 Å; angles 90.00, 90.00, 90.00 degrees
Fractional coordinates of all 4 atoms:
Ce (0.000, 0.000, 0.000)
Tl (0.500, 0.500, 0.000)
In (0.500, 0.000, 0.500)
Hg (0.000, 0.500, 0.500)

---

Record 15
Material: CeTlInHg
Method: DFT, PBE-GGA
State: optimized geometry

energy of formation: -0.242 eV/atom
space group: F-43m
crystal system: cubic
density of states at the Fermi level: 7.8 states/eV per cell

Cell lengths 5.324, 5.324, 5.324 Å; angles 60.00, 60.00, 60.00 degrees
Fractional coordinates of all 4 atoms:
Ce (0.000, 0.000, 0.000)
Tl (0.750, 0.750, 0.750)
In (0.500, 0.500, 0.500)
Hg (0.250, 0.250, 0.250)

---

Record 16
Material: CeTm2In2Hg2
Method: DFT, PBE-GGA
State: optimized geometry

energy of formation: -0.239 eV/atom
space group: R-3m
crystal system: trigonal
density of states at the Fermi level: 10.5 states/eV per cell

Cell lengths 9.270, 9.270, 9.270 Å; angles 31.10, 31.10, 31.10 degrees
Fractional coordinates of all 7 atoms:
Ce (0.000, 0.000, 0.000)
Tm (0.132, 0.132, 0.132)
Tm (0.868, 0.868, 0.868)
In (0.265, 0.265, 0.265)
In (0.735, 0.735, 0.735)
Hg (0.433, 0.433, 0.433)
Hg (0.567, 0.567, 0.567)

---

Record 17
Material: CeYInHg
Method: DFT, PBE-GGA
State: optimized geometry

energy of formation: -0.394 eV/atom
space group: F-43m
crystal system: cubic
density of states at the Fermi level: 10.5 states/eV per cell

Cell lengths 5.387, 5.387, 5.387 Å; angles 60.00, 60.00, 60.00 degrees
Fractional coordinates of all 4 atoms:
Ce (0.000, 0.000, 0.000)
Y (0.500, 0.500, 0.500)
In (0.750, 0.750, 0.750)
Hg (0.250, 0.250, 0.250)

---

Record 18
Material: Ce2YIn2Hg2
Method: DFT, PBE-GGA
State: optimized geometry

energy of formation: -0.233 eV/atom
space group: R-3m
crystal system: trigonal
density of states at the Fermi level: 13.3 states/eV per cell

Cell lengths 9.547, 9.547, 9.547 Å; angles 29.21, 29.21, 29.21 degrees
Fractional coordinates of all 7 atoms:
Ce (0.143, 0.143, 0.143)
Ce (0.857, 0.857, 0.857)
Y (0.000, 0.000, 0.000)
In (0.272, 0.272, 0.272)
In (0.728, 0.728, 0.728)
Hg (0.421, 0.421, 0.421)
Hg (0.579, 0.579, 0.579)

---

Record 19
Material: CeZnInHg
Method: DFT, PBE-GGA
State: optimized geometry

energy of formation: -0.298 eV/atom
space group: F-43m
crystal system: cubic
density of states at the Fermi level: 6.5 states/eV per cell

Cell lengths 5.103, 5.103, 5.103 Å; angles 60.00, 60.00, 60.00 degrees
Fractional coordinates of all 4 atoms:
Ce (0.000, 0.000, 0.000)
Zn (0.750, 0.750, 0.750)
In (0.500, 0.500, 0.500)
Hg (0.250, 0.250, 0.250)

---

Record 20
Material: Ce11Hg9Ir4
Method: DFT, PBE-GGA
State: optimized geometry

energy of formation: -0.504 eV/atom
space group: Cmmm
crystal system: orthorhombic
density of states at the Fermi level: 58.8 states/eV per cell

Cell lengths 13.214, 13.214, 3.701 Å; angles 90.00, 90.00, 111.40 degrees
Fractional coordinates of all 24 atoms:
Ce (0.000, 0.000, 0.000)
Ce (0.077, 0.422, 0.000)
Ce (0.155, 0.845, 0.000)
Ce (0.312, 0.312, 0.000)
Ce (0.372, 0.628, 0.000)
Ce (0.422, 0.077, 0.000)
Ce (0.578, 0.923, 0.000)
Ce (0.628, 0.372, 0.000)
Ce (0.688, 0.688, 0.000)
Ce (0.845, 0.155, 0.000)
Ce (0.923, 0.578, 0.000)
Hg (0.075, 0.218, 0.500)
Hg (0.156, 0.640, 0.500)
Hg (0.218, 0.075, 0.500)
Hg (0.360, 0.844, 0.500)
Hg (0.500, 0.500, 0.500)
Hg (0.640, 0.156, 0.500)
Hg (0.782, 0.925, 0.500)
Hg (0.844, 0.360, 0.500)
Hg (0.925, 0.782, 0.500)
Ir (0.249, 0.451, 0.500)
Ir (0.451, 0.249, 0.500)
Ir (0.549, 0.751, 0.500)
Ir (0.751, 0.549, 0.500)

---

Record 21
Material: Ce4Hg5Ir2
Method: DFT, PBE-GGA
State: optimized geometry

energy of formation: -0.485 eV/atom
space group: P2/m
crystal system: monoclinic
density of states at the Fermi level: 23.7 states/eV per cell

Cell lengths 7.880, 3.671, 9.706 Å; angles 90.00, 94.96, 90.00 degrees
Fractional coordinates of all 11 atoms:
Ce (0.184, 0.000, 0.347)
Ce (0.216, 0.000, 0.939)
Ce (0.784, 0.000, 0.061)
Ce (0.816, 0.000, 0.653)
Hg (0.166, 0.500, 0.639)
Hg (0.464, 0.500, 0.170)
Hg (0.500, 0.500, 0.500)
Hg (0.536, 0.500, 0.830)
Hg (0.834, 0.500, 0.361)
Ir (0.083, 0.500, 0.141)
Ir (0.917, 0.500, 0.859)

---

Record 22
Material: Ce8Hg2Ir3
Method: DFT, PBE-GGA
State: optimized geometry

energy of formation: -0.399 eV/atom
space group: P2/m
crystal system: monoclinic
density of states at the Fermi level: 25.2 states/eV per cell

Cell lengths 8.000, 4.641, 8.974 Å; angles 90.00, 104.45, 90.00 degrees
Fractional coordinates of all 13 atoms:
Ce (0.068, 0.000, 0.369)
Ce (0.239, 0.500, 0.121)
Ce (0.242, 0.500, 0.553)
Ce (0.324, 0.000, 0.925)
Ce (0.676, 0.000, 0.075)
Ce (0.758, 0.500, 0.447)
Ce (0.761, 0.500, 0.879)
Ce (0.932, 0.000, 0.631)
Hg (0.465, 0.000, 0.333)
Hg (0.535, 0.000, 0.667)
Ir (0.000, 0.000, 0.000)
Ir (0.086, 0.500, 0.796)
Ir (0.914, 0.500, 0.204)

---

Record 23
Material: Ce5Hg2Ir2
Method: DFT, PBE-GGA
State: optimized geometry

energy of formation: -0.490 eV/atom
space group: Cmce
crystal system: orthorhombic
density of states at the Fermi level: 55.8 states/eV per cell

Cell lengths 8.825, 8.825, 8.022 Å; angles 90.00, 90.00, 50.33 degrees
Fractional coordinates of all 18 atoms:
Ce (0.000, 0.000, 0.000)
Ce (0.049, 0.714, 0.671)
Ce (0.214, 0.549, 0.171)
Ce (0.286, 0.951, 0.671)
Ce (0.451, 0.786, 0.171)
Ce (0.500, 0.500, 0.500)
Ce (0.549, 0.214, 0.829)
Ce (0.714, 0.049, 0.329)
Ce (0.786, 0.451, 0.829)
Ce (0.951, 0.286, 0.329)
Hg (0.216, 0.216, 0.000)
Hg (0.284, 0.284, 0.500)
Hg (0.716, 0.716, 0.500)
Hg (0.784, 0.784, 0.000)
Ir (0.140, 0.860, 0.370)
Ir (0.360, 0.640, 0.870)
Ir (0.640, 0.360, 0.130)
Ir (0.860, 0.140, 0.630)

---

Record 24
Material: Ce8HgIr6
Method: DFT, PBE-GGA
State: optimized geometry

energy of formation: -0.589 eV/atom
space group: P-3
crystal system: trigonal
density of states at the Fermi level: 29.0 states/eV per cell

Cell lengths 10.197, 10.197, 4.072 Å; angles 90.00, 90.00, 120.00 degrees
Fractional coordinates of all 15 atoms:
Ce (0.053, 0.321, 0.238)
Ce (0.268, 0.947, 0.238)
Ce (0.321, 0.268, 0.762)
Ce (0.333, 0.667, 0.747)
Ce (0.667, 0.333, 0.253)
Ce (0.679, 0.732, 0.238)
Ce (0.732, 0.053, 0.762)
Ce (0.947, 0.679, 0.762)
Hg (0.000, 0.000, 0.500)
Ir (0.094, 0.622, 0.258)
Ir (0.378, 0.472, 0.258)
Ir (0.472, 0.094, 0.742)
Ir (0.528, 0.906, 0.258)
Ir (0.622, 0.528, 0.742)
Ir (0.906, 0.378, 0.742)

---

no.,V (Å³/f.u.)
1,113
2,103
3,182
4,111
5,88
6,127
7,196
8,197
9,113
10,104
11,106
12,193
13,187
14,107
15,107
16,189
17,111
18,183
19,94
20,602
21,280
22,323
23,240
24,367